The following is a PBEsol calculation of a geometry-optimized YSb2As structure, from Alexandria. Values from VASP.

Geometry as Quantum ESPRESSO input:
```
&SYSTEM
  ibrav = 0, nat = 4, ntyp = 3
/
ATOMIC_SPECIES
Y 88.91 Y.upf
Sb 121.76 Sb.upf
As 74.92 As.upf
CELL_PARAMETERS angstrom
4.1400 0.4698 0.0000
-0.4705 4.1399 0.0000
0.0000 0.0000 6.2207
ATOMIC_POSITIONS angstrom
Y 0.0000 0.0000 2.5836
Sb 0.0000 0.0000 5.6637
Sb 1.8348 2.3049 4.9911
As 1.8348 2.3049 2.3132
```

Computed properties:
Energy relative to the elements, uncorrected   -0.62 eV/atom
Density   6.3 g/cm3
Density of states at the Fermi level   1.04 states/eV per cell